1.
VASP calculation (GGA-PBE) on an optimized crystal structure of BeCo.

Geometry as POSCAR:
```
BeCo
1.0
1.308 4.175 0.002
-1.308 4.175 0.002
0.000 1.616 4.960
Co Be
3 3
Cartesian
0.000 3.899 4.486 Co
0.000 9.105 2.792 Co
0.000 3.173 1.883 Co
0.000 8.196 0.226 Be
0.000 6.577 3.559 Be
0.000 5.636 1.120 Be
```

Computed properties:
Symmetry: Cm (8)

---

2.
VASP calculation (GGA-PBE) on an optimized crystal structure of BeCo5.

Geometry as POSCAR:
```
BeCo5
1.0
-1.503 1.630 -1.205
-1.955 -0.770 1.398
2.039 6.723 6.551
Co Be
5 1
Cartesian
-1.421 1.446 1.086 Co
1.995 6.578 6.410 Co
1.404 4.628 4.509 Co
-0.678 3.897 3.475 Co
0.680 2.241 2.184 Co
-0.030 6.033 5.556 Be
```

Computed properties:
E above lowest polymorph in meV per atom: 0
Symmetry: P4/mmm (123)

---

3.
VASP calculation (GGA-PBE) on an optimized crystal structure of BeCo2.

Geometry as POSCAR:
```
BeCo2
1.0
5.006 0.000 0.000
0.000 5.006 0.000
0.000 0.000 5.006
Co Be
8 4
Cartesian
4.318 1.815 4.318 Co
3.191 4.318 4.318 Co
1.815 0.688 0.688 Co
0.688 3.191 0.688 Co
3.191 3.191 1.815 Co
1.815 1.815 3.191 Co
4.318 0.688 1.815 Co
0.688 4.318 3.191 Co
0.000 2.503 2.503 Be
2.503 0.000 2.503 Be
2.503 2.503 0.000 Be
0.000 0.000 0.000 Be
```

Computed properties:
Symmetry: Pa-3 (205)

---

4.
VASP calculation (GGA-PBE) on an optimized crystal structure of Be5Co.

Geometry as POSCAR:
```
Be5Co
1.0
-2.690 -1.708 2.389
3.882 -0.293 0.841
-0.193 3.026 1.946
Be Co
5 1
Cartesian
0.698 0.179 3.126 Be
-2.667 -1.694 2.369 Be
1.658 -0.762 1.350 Be
1.197 1.415 1.253 Be
-0.489 -1.254 1.901 Be
-0.993 0.943 1.769 Co
```

Computed properties:
Symmetry: P-62m (189)

---

no.,DFT formation energy (eV per atom)
1,-0.188
2,-0.073
3,0.388
4,-0.140